A relaxed Nd3IrPb crystal. Source: the Alexandria database, functional GGA-PBE.

Summary:
V = 321.0 Å³/cell
calculated density = 8610 kg/m³
uncorrected energy = -5.854 eV per atom
polymorph energy (0 for the lowest one) = 12.5 kJ/mol of atoms

a = 4.198 Å, b = 9.000 Å, c = 9.001 Å
α = 70.70°, β = 90.00°, γ = 90.00°
Atoms (fractional coordinates):
Nd 0.363 0.371 0.423
Nd 0.863 0.769 0.425
Nd 0.863 0.619 0.068
Nd 0.363 0.017 0.070
Nd 0.864 0.016 0.671
Nd 0.864 0.372 0.821
Pb 0.363 0.694 0.746
Pb 0.863 0.194 0.246
Ir 0.364 0.194 0.746
Ir 0.363 0.694 0.246

=====

A relaxed AsPbBr2Cl crystal. Source: the Alexandria database, functional GGA-PBE.

Summary:
V = 144.6 Å³/cell
calculated density = 5481 kg/m³
uncorrected energy = -2.305 eV per atom
E_form (uncorrected) = 0.405 eV per atom
polymorph energy (0 for the lowest one) = 15.6 kJ/mol of atoms

a = 5.129 Å, b = 5.129 Å, c = 5.497 Å
α = 90.00°, β = 90.00°, γ = 90.00°
Atoms (fractional coordinates):
Br 0.500 0.000 0.000
Br 0.000 0.500 0.000
Cl 0.000 0.000 0.000
As 0.000 0.000 0.500
Pb 0.500 0.500 0.500

=====

A relaxed TeBrCl2 crystal. Source: the Alexandria database, functional GGA-PBE.

Summary:
V = 278.7 Å³/cell
calculated density = 3317 kg/m³
uncorrected energy = -1.959 eV per atom
E_form (uncorrected) = 0.167 eV per atom
polymorph energy (0 for the lowest one) = 55.0 kJ/mol of atoms

a = 5.770 Å, b = 5.770 Å, c = 9.314 Å
α = 71.96°, β = 71.96°, γ = 90.00°
Atoms (fractional coordinates):
Br 0.500 0.500 0.000
Br 0.250 0.750 0.500
Cl 0.375 0.253 0.750
Cl 0.003 0.625 0.250
Cl 0.875 0.997 0.750
Cl 0.747 0.125 0.250
Te 0.000 0.000 0.000
Te 0.750 0.250 0.500

=====

A relaxed MgHg2Pb crystal. Source: the Alexandria database, functional GGA-PBE.

Summary:
V = 102.4 Å³/cell
calculated density = 10263 kg/m³
uncorrected energy = -1.438 eV per atom

a = 5.251 Å, b = 5.251 Å, c = 5.251 Å
α = 60.00°, β = 60.00°, γ = 60.00°
Atoms (fractional coordinates):
Hg 0.000 0.000 0.000
Hg 0.250 0.250 0.250
Mg 0.500 0.500 0.500
Pb 0.750 0.750 0.750

=====

A relaxed CaCdMo crystal. Source: the Alexandria database, functional GGA-PBE.

Summary:
V = 64.6 Å³/cell
calculated density = 6388 kg/m³
uncorrected energy = -3.965 eV per atom
polymorph energy (0 for the lowest one) = 13.9 kJ/mol of atoms

a = 5.111 Å, b = 5.111 Å, c = 2.855 Å
α = 90.00°, β = 90.00°, γ = 120.00°
Atoms (fractional coordinates):
Cd 0.667 0.333 0.458
Mo 0.333 0.667 0.541
Ca 0.000 0.000 0.001

=====

A relaxed LiPaFeSi crystal. Source: the Alexandria database, functional GGA-PBE.

Summary:
V = 60.6 Å³/cell
calculated density = 8819 kg/m³
uncorrected energy = -6.564 eV per atom
E_form (uncorrected) = -0.240 eV per atom

a = 4.409 Å, b = 4.409 Å, c = 4.409 Å
α = 60.00°, β = 60.00°, γ = 60.00°
Atoms (fractional coordinates):
Fe 0.000 0.000 0.000
Li 0.500 0.500 0.500
Si 0.750 0.750 0.750
Pa 0.250 0.250 0.250